No. 1
The following is a DFT calculation (PBE+U) of crystalline SrV2SnO8 at its relaxed geometry.

Cell: 5.661 5.661 6.965 Å, 90.00 90.00 120.00°
Positions (direct):
O1 0.667 0.333 0.999
O2 0.160 0.321 0.691
O3 0.161 0.840 0.691
O4 0.840 0.679 0.309
O5 0.679 0.839 0.691
O6 0.321 0.161 0.309
O7 0.839 0.160 0.309
O8 0.333 0.667 0.001
Sn1 0.000 0.000 0.500
V1 0.667 0.333 0.238
V2 0.333 0.667 0.762
Sr1 0.000 0.000 0.000

Summary:
- SG = P-3m1, No. 164
- crystal system = trigonal
- VASP energy (eV per atom) = -7.076

No. 2
The following is a DFT calculation (PBE+U) of crystalline Sr3VSn2O9 at its relaxed geometry.

Cell: 5.718 5.718 7.025 Å, 90.00 90.00 120.00°
Positions (direct):
O1 0.500 0.000 0.000
O2 0.500 0.500 0.000
O3 0.838 0.675 0.661
O4 0.838 0.162 0.661
O5 0.675 0.838 0.339
O6 0.325 0.162 0.661
O7 0.162 0.838 0.339
O8 0.162 0.325 0.339
O9 0.000 0.500 0.000
Sr1 0.333 0.667 0.663
Sr2 0.000 0.000 0.000
Sr3 0.667 0.333 0.337
Sn1 0.333 0.667 0.172
Sn2 0.667 0.333 0.828
V1 0.000 0.000 0.500

Summary:
- SG = P-3m1, No. 164
- crystal system = trigonal
- VASP energy (eV per atom) = -6.586

No. 3
The following is a DFT calculation (PBE+U) of crystalline Sr2VSnO6 at its relaxed geometry.

Cell: 5.665 5.658 8.053 Å, 90.00 89.66 90.00°
Positions (direct):
O1 0.058 0.491 0.746
O2 0.558 0.009 0.246
O3 0.277 0.730 0.033
O4 0.742 0.284 0.528
O5 0.258 0.716 0.472
O6 0.442 0.991 0.754
O7 0.223 0.230 0.467
O8 0.777 0.770 0.533
O9 0.723 0.270 0.967
O10 0.758 0.784 0.972
O11 0.942 0.509 0.254
O12 0.242 0.216 0.028
Sr1 0.504 0.518 0.751
Sr2 0.996 0.018 0.749
Sr3 0.004 0.982 0.251
Sr4 0.496 0.482 0.249
Sn1 0.500 0.000 0.500
Sn2 0.000 0.500 0.000
V1 0.500 0.000 0.000
V2 0.000 0.500 0.500

Summary:
- SG = P2_1/c, No. 14
- relative energy among the computed polymorphs (meV/atom) = 0.0
- crystal system = monoclinic
- VASP energy (eV per atom) = -6.794

No. 4
The following is a DFT calculation (PBE+U) of crystalline SrVSnWO6 at its relaxed geometry.

Cell: 5.717 5.717 5.717 Å, 60.00 60.00 60.00°
Positions (direct):
O1 0.742 0.742 0.258
O2 0.258 0.742 0.742
O3 0.742 0.258 0.742
O4 0.258 0.742 0.258
O5 0.742 0.258 0.258
O6 0.258 0.258 0.742
Sn1 0.750 0.750 0.750
Sr1 0.250 0.250 0.250
V1 0.000 0.000 0.000
W1 0.500 0.500 0.500

Summary:
- SG = F-43m, No. 216
- crystal system = cubic
- VASP energy (eV per atom) = -7.029

No. 5
The following is a DFT calculation (PBE+U) of crystalline SrZrVSnO6 at its relaxed geometry.

Cell: 5.719 5.719 5.719 Å, 60.00 60.00 60.00°
Positions (direct):
O1 0.741 0.259 0.741
O2 0.259 0.259 0.741
O3 0.259 0.741 0.741
O4 0.741 0.741 0.259
O5 0.741 0.259 0.259
O6 0.259 0.741 0.259
Zr1 0.000 0.000 0.000
Sn1 0.750 0.750 0.750
V1 0.500 0.500 0.500
Sr1 0.250 0.250 0.250

Summary:
- SG = F-43m, No. 216
- crystal system = cubic
- VASP energy (eV per atom) = -7.488

No. 6
The following is a DFT calculation (PBE+U) of crystalline SrZnSnWO6 at its relaxed geometry.

Cell: 5.705 5.705 5.705 Å, 60.00 60.00 60.00°
Positions (direct):
O1 0.741 0.741 0.259
O2 0.259 0.741 0.259
O3 0.259 0.259 0.741
O4 0.741 0.259 0.259
O5 0.259 0.741 0.741
O6 0.741 0.259 0.741
Zn1 0.000 0.000 0.000
Sn1 0.750 0.750 0.750
Sr1 0.250 0.250 0.250
W1 0.500 0.500 0.500

Summary:
- SG = F-43m, No. 216
- crystal system = cubic
- VASP energy (eV per atom) = -6.290

Copy entry 5 word for word.
The following is a DFT calculation (PBE+U) of crystalline SrZrVSnO6 at its relaxed geometry.

Cell: 5.719 5.719 5.719 Å, 60.00 60.00 60.00°
Positions (direct):
O1 0.741 0.259 0.741
O2 0.259 0.259 0.741
O3 0.259 0.741 0.741
O4 0.741 0.741 0.259
O5 0.741 0.259 0.259
O6 0.259 0.741 0.259
Zr1 0.000 0.000 0.000
Sn1 0.750 0.750 0.750
V1 0.500 0.500 0.500
Sr1 0.250 0.250 0.250

Summary:
- SG = F-43m, No. 216
- crystal system = cubic
- VASP energy (eV per atom) = -7.488